No. 1
4
Lattice="-2.113 0.920 3.282 -2.182 -3.331 -0.471 4.198 -3.261 3.618" Properties=species:S:1:pos:R:3 comment="LiCdTe2, relaxed, DFT GGA-PBE" total_energy_ev_per_atom=-2.565 pbc="T T T"
Te 2.117 -1.644 1.824
Li 1.001 -3.651 4.119
Cd -1.098 -2.021 2.310
Te 4.180 -3.247 3.602

---

No. 2
4
Lattice="3.933 0.000 0.000 0.000 3.933 0.000 0.000 0.000 7.647" Properties=species:S:1:pos:R:3 comment="LiCdTe2, relaxed, DFT GGA-PBE" total_energy_ev_per_atom=-2.669 pbc="T T T"
Te 1.966 1.966 2.770
Li 1.966 1.966 5.774
Cd 0.000 0.000 3.875
Te 0.000 0.000 6.699

---

No. 3
4
Lattice="3.699 0.025 0.000 -0.014 3.699 0.000 0.000 0.000 6.410" Properties=species:S:1:pos:R:3 comment="Li2CdTe, relaxed, DFT GGA-PBE" polymorph_energy_ev_per_atom=0.0806 total_energy_ev_per_atom=-2.415 pbc="T T T"
Te 1.842 1.862 1.603
Cd 1.842 1.862 4.808
Li 0.000 0.000 0.174
Li 0.000 0.000 3.032

---

No. 4
4
Lattice="7.770 -0.045 -0.017 7.005 3.362 -0.017 0.009 0.002 4.362" Properties=species:S:1:pos:R:3 comment="LiCdTe2, relaxed, DFT GGA-PBE" total_energy_ev_per_atom=-2.710 pbc="T T T"
Te 14.121 3.170 0.517
Li 4.237 0.951 0.531
Te 10.660 2.393 2.698
Cd 7.932 1.781 2.713

---

No. 5
5
Lattice="-5.639 0.246 0.319 -0.371 -4.916 -2.766 0.157 -2.780 4.920" Properties=species:S:1:pos:R:3 comment="LiCdTe3, relaxed, DFT GGA-PBE" polymorph_energy_ev_per_atom=0.0076 total_energy_ev_per_atom=-2.254 pbc="T T T"
Te 0.079 -1.390 2.460
Li -2.927 -3.725 1.236
Te -2.820 0.123 0.160
Cd 0.000 0.000 0.000
Te -0.186 -2.458 -1.383

---

No. 6
4
Lattice="0.000 3.548 3.548 3.548 0.000 3.548 3.548 3.548 0.000" Properties=species:S:1:pos:R:3 comment="Li2CdTe, relaxed, DFT GGA-PBE" polymorph_energy_ev_per_atom=0.0112 total_energy_ev_per_atom=-2.485 pbc="T T T"
Li 5.322 5.322 5.322
Te 3.548 3.548 3.548
Cd 0.000 0.000 0.000
Li 1.774 1.774 1.774

---

No. 7
4
Lattice="5.778 -0.012 -0.017 2.745 5.084 0.017 -4.249 -2.558 2.965" Properties=species:S:1:pos:R:3 comment="Li2CdTe, relaxed, DFT GGA-PBE" polymorph_energy_ev_per_atom=0.0721 total_energy_ev_per_atom=-2.424 pbc="T T T"
Cd 1.385 2.535 1.491
Li 0.001 0.001 0.000
Li 2.881 -0.026 1.474
Te 4.269 2.540 0.000

---

No. 8
6
Lattice="0.000 4.572 4.572 4.572 0.000 4.572 4.572 4.572 0.000" Properties=species:S:1:pos:R:3 comment="LiCdTe4, relaxed, DFT GGA-PBE" total_energy_ev_per_atom=-2.452 pbc="T T T"
Li 0.000 0.000 0.000
Te 3.440 5.705 5.705
Te 3.440 3.440 3.440
Te 5.705 3.440 5.705
Cd 6.859 6.859 6.859
Te 5.705 5.705 3.440